No. 1
DFT (GGA-PBE) results for an optimized crystal structure of Li3MnMo.

Output
energy above the most stable polymorph in this dataset: 0 meV per atom
E_tot: -18.29 eV per formula unit
formation energy from the elements: 1.491 eV per atom
SG: Pm-3m (221)
magnetic moment: 0.8 μB per formula unit

Geometry as CIF:
```
data_Li3MnMo
_chemical_formula_sum 'Li3 Mn1 Mo1'
_cell_length_a 4.8508
_cell_length_b 4.8508
_cell_length_c 4.8508
_cell_angle_alpha 90.00
_cell_angle_beta 90.00
_cell_angle_gamma 90.00
_space_group_name_H-M_alt 'P 1'
_space_group_IT_number 1
loop_
_space_group_symop_operation_xyz
'x,y,z'
loop_
_atom_site_label
_atom_site_type_symbol
_atom_site_fract_x
_atom_site_fract_y
_atom_site_fract_z
Li1 Li 0.5000 0.0000 0.0000
Li2 Li 0.0000 0.0000 0.5000
Li3 Li 0.0000 0.5000 0.0000
Mo1 Mo 0.0000 0.0000 0.0000
Mn1 Mn 0.5000 0.5000 0.5000
```

No. 2
DFT (GGA-PBE) results for an optimized crystal structure of SrInBi.

Output
energy above the most stable polymorph in this dataset: 60 meV per atom
E_tot: -9.78 eV per formula unit
formation energy from the elements: -0.492 eV per atom
SG: P3m1 (156)
magnetic moment: 0.0 μB per formula unit

Geometry as CIF:
```
data_SrInBi
_chemical_formula_sum 'Sr1 In1 Bi1'
_cell_length_a 5.3447
_cell_length_b 4.8185
_cell_length_c 4.8185
_cell_angle_alpha 120.00
_cell_angle_beta 90.00
_cell_angle_gamma 90.00
_space_group_name_H-M_alt 'P 1'
_space_group_IT_number 1
loop_
_space_group_symop_operation_xyz
'x,y,z'
loop_
_atom_site_label
_atom_site_type_symbol
_atom_site_fract_x
_atom_site_fract_y
_atom_site_fract_z
Bi1 Bi 0.2923 0.3333 0.6667
In1 In 0.0406 0.0000 0.0000
Sr1 Sr 0.6671 0.6667 0.3333
```